Record 1
Compound: BaTl3Cd2
Source: Alexandria via LeMat-Bulk
Functional: PBE-GGA
Structure: relaxed

The value obtained for the distance to the lowest polymorph of the same formula is 0 meV per atom. The formation energy comes out at -1.1 eV/f.u. Its energy is -71.821 eV per cell.

It has space group C2/m (No. 12), with a = 19.626 Å, b = 5.093 Å, c = 11.756 Å, α = 90.00°, β = 104.18° and γ = 90.00°. The inequivalent atoms are Ba at (0.000, 0.000, 0.000), Ba at (0.163, 0.000, 0.709), Tl at (0.000, 0.500, 0.500), Tl at (0.041, 0.000, 0.355), Tl at (0.124, 0.500, 0.189), Tl at (0.159, 0.500, 0.942), Tl at (0.207, 0.000, 0.355), Cd at (0.024, 0.500, 0.776), Cd at (0.153, 0.500, 0.465) and Cd at (0.196, 0.000, 0.086).

Record 2
Compound: TlBiNO2
Source: Alexandria via LeMat-Bulk
Functional: PBE-GGA
Structure: relaxed

The raw formation energy comes out at 166 meV per atom. Its energy is -23.661 eV per cell.

It has space group P4/mmm (No. 123), with a = 4.255 Å, b = 4.255 Å, c = 4.516 Å, α = 90.00°, β = 90.00° and γ = 90.00°. The inequivalent atoms are Tl at (0.000, 0.000, 0.000), Bi at (0.500, 0.500, 0.500), N at (0.500, 0.500, 0.000) and O at (0.000, 0.500, 0.500).

Record 3
Compound: PbAuN2
Source: Alexandria via LeMat-Bulk
Functional: PBE-GGA
Structure: relaxed

The raw formation energy comes out at 1218 meV per atom. Its energy is -56.295 eV per cell.

It has space group R-3m (No. 166, hexagonal axes), with a = 3.3072 Å, b = 3.3072 Å, c = 20.8413 Å, α = 90.00°, β = 90.00° and γ = 120.00°. The inequivalent atoms are Pb at (0.0000, 0.0000, 0.0000), Au at (0.0000, 0.0000, 0.5000) and N at (0.0000, 0.0000, 0.1196).

Record 4
Compound: SmDyHoCu
Source: Alexandria via LeMat-Bulk
Functional: PBE-GGA
Structure: relaxed

The formation energy comes out at -0.4 eV/f.u. Its energy is -18.407 eV per cell.

It has space group P4mm (No. 99), with a = 3.506 Å, b = 3.506 Å, c = 8.668 Å, α = 90.00°, β = 90.00° and γ = 90.00°. The inequivalent atoms are Sm at (0.000, 0.000, 0.000), Dy at (0.500, 0.500, 0.693), Ho at (0.500, 0.500, 0.305) and Cu at (0.000, 0.000, 0.497).

Record 5
Compound: InSbP2
Source: Alexandria via LeMat-Bulk
Functional: PBE-GGA
Structure: relaxed

The raw formation energy comes out at 44 meV per atom. The value obtained for the distance to the lowest polymorph of the same formula is 0 meV per atom. Its energy is -17.504 eV per cell.

It has space group P4mm (No. 99), with a = 3.899 Å, b = 3.899 Å, c = 5.882 Å, α = 90.00°, β = 90.00° and γ = 90.00°. The inequivalent atoms are In at (0.000, 0.000, 0.000), Sb at (0.500, 0.500, 0.489), P at (0.000, 0.000, 0.540) and P at (0.500, 0.500, 0.055).

Record 6
Compound: Mn2PtPb
Source: Alexandria via LeMat-Bulk
Functional: PBE-GGA
Structure: relaxed

The formation energy comes out at 0.5 eV/f.u. Its energy is -27.578 eV per cell.

It has space group P4/mmm (No. 123), with a = 4.121 Å, b = 4.121 Å, c = 3.982 Å, α = 90.00°, β = 90.00° and γ = 90.00°. The inequivalent atoms are Mn at (0.000, 0.500, 0.000), Pt at (0.000, 0.000, 0.500) and Pb at (0.500, 0.500, 0.500).

Record 7
Compound: SrTa3Nb
Source: Alexandria via LeMat-Bulk
Functional: PBE-GGA
Structure: relaxed

The value obtained for the distance to the lowest polymorph of the same formula is 0 meV per atom. The formation energy comes out at 6.6 eV/f.u. Its energy is -40.676 eV per cell.

It has space group Pm-3m (No. 221), with a = 5.036 Å, b = 5.036 Å, c = 5.036 Å, α = 90.00°, β = 90.00° and γ = 90.00°. The inequivalent atoms are Sr at (0.000, 0.000, 0.000), Ta at (0.000, 0.500, 0.500) and Nb at (0.500, 0.500, 0.500).

Record 8
Compound: Te2PdRuI
Source: Alexandria via LeMat-Bulk
Functional: PBE-GGA
Structure: relaxed

The raw formation energy comes out at 686 meV per atom. The value obtained for the distance to the lowest polymorph of the same formula is 0 meV per atom. Its energy is -18.871 eV per cell.

It has space group P4/mmm (No. 123), with a = 5.065 Å, b = 5.065 Å, c = 5.695 Å, α = 90.00°, β = 90.00° and γ = 90.00°. The inequivalent atoms are Te at (0.000, 0.500, 0.000), Pd at (0.000, 0.000, 0.500), Ru at (0.500, 0.500, 0.000) and I at (0.500, 0.500, 0.500).

Record 9
Compound: SbTe2Pt
Source: Alexandria via LeMat-Bulk
Functional: PBE-GGA
Structure: relaxed

The raw formation energy comes out at 129 meV per atom. Its energy is -15.930 eV per cell.

It has space group P4mm (No. 99), with a = 3.856 Å, b = 3.856 Å, c = 7.261 Å, α = 90.00°, β = 90.00° and γ = 90.00°. The inequivalent atoms are Sb at (0.000, 0.000, 0.000), Te at (0.000, 0.000, 0.607), Te at (0.500, 0.500, 0.211) and Pt at (0.500, 0.500, 0.829).

Record 10
Compound: LaZr2AlPd
Source: Alexandria via LeMat-Bulk
Functional: PBE-GGA
Structure: relaxed

The formation energy comes out at 1.5 eV/f.u. Its energy is -29.426 eV per cell.

It has space group P4/mmm (No. 123), with a = 5.149 Å, b = 5.149 Å, c = 5.425 Å, α = 90.00°, β = 90.00° and γ = 90.00°. The inequivalent atoms are La at (0.000, 0.000, 0.000), Zr at (0.000, 0.500, 0.500), Al at (0.500, 0.500, 0.000) and Pd at (0.000, 0.000, 0.500).

Record 11
Compound: Sc6Ni2Sn
Source: Alexandria via LeMat-Bulk
Functional: PBE-GGA
Structure: relaxed

The formation energy comes out at -4.0 eV/f.u. Its energy is -230.274 eV per cell.

It has space group Immm (No. 71), with a = 8.814 Å, b = 8.938 Å, c = 9.452 Å, α = 90.00°, β = 90.00° and γ = 90.00°. The inequivalent atoms are Sc at (0.000, 0.212, 0.233), Sc at (0.199, 0.500, 0.177), Sc at (0.207, 0.314, 0.500), Ni at (0.000, 0.354, 0.000), Ni at (0.000, 0.500, 0.371), Sn at (0.000, 0.000, 0.000) and Sn at (0.000, 0.000, 0.500).

Record 12
Compound: Pr2Y4Er3
Source: Alexandria via LeMat-Bulk
Functional: PBE-GGA
Structure: relaxed

The formation energy comes out at 0.8 eV/f.u. Its energy is -193.146 eV per cell.

It has space group C2/c (No. 15), with a = 16.343 Å, b = 11.674 Å, c = 6.168 Å, α = 90.00°, β = 96.19° and γ = 90.00°. The inequivalent atoms are Pr at (0.122, 0.146, 0.322), Y at (0.047, 0.360, 0.015), Y at (0.215, 0.137, 0.849), Er at (0.000, 0.097, 0.750) and Er at (0.165, 0.401, 0.594).

Record 13
Compound: Er11In6Ge4
Source: Alexandria via LeMat-Bulk
Functional: PBE-GGA
Structure: relaxed

The formation energy comes out at -13.6 eV/f.u. Its energy is -394.944 eV per cell.

It has space group I4/mmm (No. 139), with a = 11.423 Å, b = 11.423 Å, c = 16.160 Å, α = 90.00°, β = 90.00° and γ = 90.00°. The inequivalent atoms are Er at (0.000, 0.000, 0.169), Er at (0.000, 0.250, 0.314), Er at (0.000, 0.346, 0.102), Er at (0.168, 0.168, 0.500), In at (0.129, 0.129, 0.000), In at (0.206, 0.206, 0.171), Ge at (0.000, 0.000, 0.380), Ge at (0.000, 0.347, 0.500) and Ge at (0.000, 0.500, 0.250).

Record 14
Compound: MgAu2Cl
Source: Alexandria via LeMat-Bulk
Functional: PBE-GGA
Structure: relaxed

The raw formation energy comes out at -239 meV per atom. The value obtained for the distance to the lowest polymorph of the same formula is 413 meV per atom. Its energy is -10.954 eV per cell.

It has space group P4/mmm (No. 123), with a = 3.166 Å, b = 3.166 Å, c = 7.643 Å, α = 90.00°, β = 90.00° and γ = 90.00°. The inequivalent atoms are Mg at (0.000, 0.000, 0.000), Au at (0.500, 0.500, 0.227) and Cl at (0.000, 0.000, 0.500).

Record 15
Compound: CoSeBr2
Source: Alexandria via LeMat-Bulk
Functional: PBE-GGA
Structure: relaxed

The raw formation energy comes out at 381 meV per atom. Its energy is -49.645 eV per cell.

It has space group I-42d (No. 122), with a = 7.078 Å, b = 7.078 Å, c = 9.231 Å, α = 90.00°, β = 90.00° and γ = 90.00°. The inequivalent atoms are Co at (0.000, 0.000, 0.000), Se at (0.000, 0.000, 0.500) and Br at (0.161, 0.250, 0.125).

Record 16
Compound: AsP4Br
Source: Alexandria via LeMat-Bulk
Functional: PBE-GGA
Structure: relaxed

The raw formation energy comes out at 569 meV per atom. Its energy is -98.189 eV per cell.

It has space group F-43m (No. 216), with a = 8.101 Å, b = 8.101 Å, c = 8.101 Å, α = 90.00°, β = 90.00° and γ = 90.00°. The inequivalent atoms are As at (0.000, 0.000, 0.000), P at (0.097, 0.097, 0.403) and Br at (0.250, 0.250, 0.750).

Record 17
Compound: SrTaAsO5
Source: Alexandria via LeMat-Bulk
Functional: PBE-GGA
Structure: relaxed

The raw formation energy comes out at -2354 meV per atom. Its energy is -247.219 eV per cell.

It has space group C2/c (No. 15), with a = 7.535 Å, b = 9.310 Å, c = 7.734 Å, α = 90.00°, β = 115.89° and γ = 90.00°. The inequivalent atoms are Sr at (0.000, 0.064, 0.250), Ta at (0.250, 0.250, 0.000), As at (0.000, 0.448, 0.250), O at (0.000, 0.231, 0.750), O at (0.079, 0.309, 0.131) and O at (0.215, 0.047, 0.058).

Record 18
Compound: Na3BS
Source: Alexandria via LeMat-Bulk
Functional: PBE-GGA
Structure: relaxed

The raw formation energy comes out at 376 meV per atom. The value obtained for the distance to the lowest polymorph of the same formula is 0 meV per atom. Its energy is -12.884 eV per cell.

It has space group Pm-3m (No. 221), with a = 5.246 Å, b = 5.246 Å, c = 5.246 Å, α = 90.00°, β = 90.00° and γ = 90.00°. The inequivalent atoms are Na at (0.000, 0.000, 0.500), B at (0.500, 0.500, 0.500) and S at (0.000, 0.000, 0.000).

Record 19
Compound: BeRh5
Source: Alexandria via LeMat-Bulk
Functional: PBE-GGA
Structure: relaxed

The value obtained for the distance to the lowest polymorph of the same formula is 142 meV per atom. The formation energy comes out at -0.2 eV/f.u. Its energy is -81.395 eV per cell.

It has space group Amm2 (No. 38), with a = 4.294 Å, b = 2.756 Å, c = 13.682 Å, α = 90.00°, β = 90.00° and γ = 90.00°. The inequivalent atoms are Be at (0.000, 0.000, 0.000), Rh at (0.000, 0.000, 0.343), Rh at (0.000, 0.000, 0.657), Rh at (0.500, 0.000, 0.219), Rh at (0.500, 0.000, 0.548) and Rh at (0.500, 0.000, 0.889).

Record 20
Compound: Hf2SnCl
Source: Alexandria via LeMat-Bulk
Functional: PBE-GGA
Structure: relaxed

The raw formation energy comes out at -243 meV per atom. The value obtained for the distance to the lowest polymorph of the same formula is 0 meV per atom. Its energy is -106.915 eV per cell.

It has space group Fm-3m (No. 225), with a = 6.916 Å, b = 6.916 Å, c = 6.916 Å, α = 90.00°, β = 90.00° and γ = 90.00°. The inequivalent atoms are Hf at (0.250, 0.250, 0.250), Sn at (0.000, 0.000, 0.000) and Cl at (0.000, 0.000, 0.500).